Here is a relaxed structure of CdSbOs2 from Alexandria via LeMat-Bulk. Energies are from PBE-GGA.

a = 3.0259 Å, b = 3.0259 Å, c = 8.9552 Å
α = 90.00°, β = 90.00°, γ = 118.24°
Last column: nearest neighbours and their distance in Å.
Sites, in units of the cell vectors:
1 Os 0.0000 0.0000 0.4832  2 Sb 2.60, 2 Cd 2.85
2 Cd 0.5000 0.5000 0.7500  4 Os 2.85, 6 Cd 3.03-3.11
3 Os 0.0000 0.0000 0.0168  2 Sb 2.60, 2 Cd 2.85
4 Sb 0.5000 0.5000 0.2500  4 Os 2.60

Properties
Its calculated total energy is -0.437 Ry per atom. The total magnetic moment is 0.0 μB per cell.

***

Here is a relaxed structure of SrNdSm4 from Alexandria via LeMat-Bulk. Energies are from PBE-GGA.

a = 6.8699 Å, b = 6.8699 Å, c = 6.8699 Å
α = 60.00°, β = 60.00°, γ = 60.00°
Last column: nearest neighbours and their distance in Å.
Sites, in units of the cell vectors:
1 Sr 0.2500 0.2500 0.2500  12 Sm 4.04, 4 Nd 4.21
2 Nd 0.0000 0.0000 0.0000  12 Sm 4.02, 4 Sr 4.21
3 Sm 0.1166 0.6278 0.6278  6 Sm 3.36-3.51
4 Sm 0.6278 0.6278 0.6278  6 Sm 3.36-3.51
5 Sm 0.6278 0.6278 0.1166  6 Sm 3.36-3.51
6 Sm 0.6278 0.1166 0.6278  6 Sm 3.36-3.51

Properties
Its calculated total energy is -0.293 Ry per atom. The total magnetic moment is 0.0 μB per cell. As for the formation energy: 0.232 eV per atom.

***

Q: Number 2 is which compound?
A: SrNdSm4

***

Q: What is the total magnetic moment in the second record?
A: 0.0 μB per cell